First-principles (GGA-PBE) data for crystalline Li3Pu2O8 at its relaxed geometry, as listed in Alexandria via LeMat-Bulk.

Lattice parameters (Å, degrees): 5.0831 6.8162 7.0172 119.06 120.89 90.00
Positions (direct):
Li  0.0000  0.2511  0.0000
Li  0.5000  0.0000  0.0000
Li  0.0000  0.7489  0.0000
Pu  0.5231  0.7428  0.4856
Pu  0.4769  0.2572  0.5144
O  0.4890  0.9156  0.2817
O  0.9257  0.3756  0.7513
O  0.4890  0.3661  0.2817
O  0.5110  0.0844  0.7183
O  0.0743  0.6244  0.2487
O  0.5110  0.6339  0.7183
O  0.0244  0.1288  0.2576
O  0.9756  0.8712  0.7424

E_tot   -7.97 eV per atom
DOS at the Fermi energy   4.255 states/eV/f.u.
Formation energy (no corrections)   -2.27 eV/atom

***

First-principles (GGA-PBE) data for crystalline Nd3Y6Sc at its relaxed geometry, as listed in Alexandria via LeMat-Bulk.

Lattice parameters (Å, degrees): 6.3558 10.9186 10.9186 119.94 90.00 90.00
Positions (direct):
Y  0.8931  0.0461  0.9539
Y  0.0517  0.3781  0.2897
Y  0.8692  0.9532  0.5366
Y  0.5517  0.2897  0.3781
Y  0.1434  0.7254  0.2746
Y  0.0517  0.7103  0.6219
Y  0.6434  0.2746  0.7254
Y  0.3931  0.9539  0.0461
Y  0.8692  0.4634  0.0468
Y  0.3692  0.0468  0.4634
Y  0.3692  0.5366  0.9532
Y  0.5517  0.6219  0.7103
Nd  0.5694  0.6141  0.3859
Nd  0.9528  0.7160  0.9449
Nd  0.9528  0.0551  0.2840
Nd  0.4528  0.2840  0.0551
Nd  0.0694  0.3859  0.6141
Nd  0.4528  0.9449  0.7160
Sc  0.6321  0.7985  0.2015
Sc  0.1321  0.2015  0.7985

E_tot   -5.80 eV per atom
DOS at the Fermi energy   14.893 states/eV/f.u.

***

First-principles (GGA-PBE) data for crystalline Tl2FeAu at its relaxed geometry, as listed in Alexandria via LeMat-Bulk.

Lattice parameters (Å, degrees): 5.7881 5.7881 5.7881 138.03 138.03 60.86
Positions (direct):
Au  0.5000  0.5000  0.0000
Tl  0.2500  0.7500  0.5000
Tl  0.0000  0.0000  0.0000
Fe  0.7500  0.2500  0.5000

E_tot   -3.64 eV per atom
DOS at the Fermi energy   3.684 states/eV/f.u.

***

First-principles (GGA-PBE) data for crystalline Mg6CuBi at its relaxed geometry, as listed in Alexandria via LeMat-Bulk.

Lattice parameters (Å, degrees): 6.3708 6.3708 4.8238 90.00 90.00 115.08
Positions (direct):
Mg  0.8731  0.6927  0.0000
Mg  0.6548  0.8428  0.5000
Mg  0.3354  0.6646  0.0000
Mg  0.8386  0.1614  0.0000
Mg  0.1572  0.3452  0.5000
Mg  0.3073  0.1269  0.0000
Cu  0.1786  0.8214  0.5000
Bi  0.6550  0.3450  0.5000

E_tot   -2.18 eV per atom
DOS at the Fermi energy   3.172 states/eV/f.u.

***

First-principles (GGA-PBE) data for crystalline YSi at its relaxed geometry, as listed in Alexandria via LeMat-Bulk.

Lattice parameters (Å, degrees): 5.9290 5.9290 5.9290 139.12 139.12 59.19
Positions (direct):
Si  0.0000  0.0000  0.0000
Si  0.2500  0.7500  0.5000
Y  0.5000  0.5000  0.0000
Y  0.7500  0.2500  0.5000

E_tot   -6.48 eV per atom
DOS at the Fermi energy   0.658 states/eV/f.u.
Formation energy (no corrections)   -0.54 eV/atom

***

First-principles (GGA-PBE) data for crystalline Ba2Li2Re at its relaxed geometry, as listed in Alexandria via LeMat-Bulk.

Lattice parameters (Å, degrees): 7.4262 7.4262 5.1276 90.00 90.00 90.00
Positions (direct):
Li  0.1310  0.3690  0.0000
Li  0.6310  0.1310  0.0000
Li  0.8690  0.6310  0.0000
Li  0.3690  0.8690  0.0000
Ba  0.2966  0.2034  0.5000
Ba  0.7034  0.7966  0.5000
Ba  0.7966  0.2966  0.5000
Ba  0.2034  0.7034  0.5000
Re  0.0000  0.0000  0.0000
Re  0.5000  0.5000  0.0000

E_tot   -3.19 eV per atom
DOS at the Fermi energy   4.749 states/eV/f.u.

***

First-principles (GGA-PBE) data for crystalline ZrTeI3 at its relaxed geometry, as listed in Alexandria via LeMat-Bulk.

Lattice parameters (Å, degrees): 5.7498 5.7498 5.7498 90.00 90.00 90.00
Positions (direct):
I  0.5000  0.0000  0.0000
I  0.0000  0.0000  0.5000
I  0.0000  0.5000  0.0000
Te  0.5000  0.5000  0.5000
Zr  0.0000  0.0000  0.0000

E_tot   -3.40 eV per atom
DOS at the Fermi energy   5.986 states/eV/f.u.
Formation energy (no corrections)   -0.13 eV/atom

***

First-principles (GGA-PBE) data for crystalline NdTh3C at its relaxed geometry, as listed in Alexandria via LeMat-Bulk.

Lattice parameters (Å, degrees): 5.1846 5.1846 5.1846 90.00 90.00 90.00
Positions (direct):
C  0.0000  0.0000  0.0000
Th  0.5000  0.0000  0.0000
Th  0.0000  0.0000  0.5000
Th  0.0000  0.5000  0.0000
Nd  0.5000  0.5000  0.5000

E_tot   -7.35 eV per atom
DOS at the Fermi energy   4.807 states/eV/f.u.

***

First-principles (GGA-PBE) data for crystalline GeO at its relaxed geometry, as listed in Alexandria via LeMat-Bulk.

Lattice parameters (Å, degrees): 17.9609 2.9707 4.7294 90.00 90.00 90.00
Positions (direct):
O  0.2666  0.5000  0.3887
O  0.7666  0.0000  0.8887
O  0.0000  0.0000  0.8964
O  0.2334  0.0000  0.8887
O  0.5000  0.5000  0.3964
O  0.7334  0.5000  0.3887
Ge  0.0000  0.5000  0.1370
Ge  0.3118  0.0000  0.5956
Ge  0.5000  0.0000  0.6370
Ge  0.8118  0.5000  0.0956
Ge  0.6882  0.0000  0.5956
Ge  0.1882  0.5000  0.0956

E_tot   -5.83 eV per atom
DOS at the Fermi energy   0.000 states/eV/f.u.
Formation energy (no corrections)   -1.04 eV/atom

***

First-principles (GGA-PBE) data for crystalline NbIn2Au at its relaxed geometry, as listed in Alexandria via LeMat-Bulk.

Lattice parameters (Å, degrees): 4.8571 4.8571 4.8571 60.00 60.00 60.00
Positions (direct):
In  0.7500  0.7500  0.7500
In  0.2500  0.2500  0.2500
Nb  0.0000  0.0000  0.0000
Au  0.5000  0.5000  0.5000

E_tot   -4.46 eV per atom
DOS at the Fermi energy   2.604 states/eV/f.u.

***

First-principles (GGA-PBE) data for crystalline Zr3NbAl12 at its relaxed geometry, as listed in Alexandria via LeMat-Bulk.

Lattice parameters (Å, degrees): 3.9859 3.9859 17.2072 90.00 90.00 90.00
Positions (direct):
Al  0.0000  0.0000  0.3740
Al  0.5000  0.0000  0.4963
Al  0.0000  0.0000  0.6215
Al  0.5000  0.0000  0.7490
Al  0.5000  0.0000  0.2534
Al  0.0000  0.5000  0.7490
Al  0.0000  0.5000  0.4963
Al  0.5000  0.5000  0.8758
Al  0.5000  0.5000  0.1253
Al  0.5000  0.0000  0.0018
Al  0.0000  0.5000  0.2534
Al  0.0000  0.5000  0.0018
Zr  0.0000  0.0000  0.1231
Zr  0.5000  0.5000  0.6163
Zr  0.0000  0.0000  0.8816
Nb  0.5000  0.5000  0.3814

E_tot   -5.49 eV per atom
DOS at the Fermi energy   5.590 states/eV/f.u.

***

First-principles (GGA-PBE) data for crystalline HgBiS2I at its relaxed geometry, as listed in Alexandria via LeMat-Bulk.

Lattice parameters (Å, degrees): 4.9966 4.9966 5.8911 90.00 90.00 90.00
Positions (direct):
S  0.5000  0.0000  0.0000
S  0.0000  0.5000  0.0000
I  0.0000  0.0000  0.5000
Hg  0.0000  0.0000  0.0000
Bi  0.5000  0.5000  0.5000

E_tot   -2.25 eV per atom
DOS at the Fermi energy   5.531 states/eV/f.u.
Formation energy (no corrections)   0.55 eV/atom